1.
This record from Alexandria via LeMat-Bulk describes a relaxed Pm2HoAlO crystal. The functional is PBE.

abc: 4.9110 4.9110 4.6683
angles: 90.00 90.00 90.00
Last column: nearest neighbours and their distance in Å.
Space group P4/mmm (No. 123)
Inequivalent atoms, fractional coordinates:
Pm (0.0000, 0.5000, 0.0000) [2 per cell]  2 O 2.46
Ho (0.0000, 0.0000, 0.5000) [1 per cell]  2 O 2.33
Al (0.5000, 0.5000, 0.5000) [1 per cell]  8 Pm 3.39, 4 Ho 3.47
O (0.0000, 0.0000, 0.0000) [1 per cell]  2 Ho 2.33, 4 Pm 2.46

Computed properties:
* formation energy without anion corrections: -6.7 eV/f.u.
* volume: 22.518 Å³ per atom


2.
This record from Alexandria via LeMat-Bulk describes a relaxed K2SnHg crystal. The functional is PBE.

abc: 3.7386 3.7386 37.4624
angles: 90.00 90.00 120.00
Last column: nearest neighbours and their distance in Å.
Space group R-3m (No. 166, hexagonal axes)
Inequivalent atoms, fractional coordinates:
K (0.0000, 0.0000, 0.0917) [6 per cell]  1 Sn 3.44, 3 Hg 3.54, 6 K 3.74
Sn (0.0000, 0.0000, 0.0000) [3 per cell]  2 K 3.44, 6 Sn 3.74
Hg (0.0000, 0.0000, 0.5000) [3 per cell]  6 K 3.54, 6 Hg 3.74

Computed properties:
* ΔE_f: 108 meV/atom
* offset from the most stable computed form: 0.374 eV/atom
* volume: 37.789 Å³ per atom


3.
This record from Alexandria via LeMat-Bulk describes a relaxed InCuOs2 crystal. The functional is PBE.

abc: 2.8891 4.6148 4.6359
angles: 90.00 90.00 90.00
Last column: nearest neighbours and their distance in Å.
Space group Pmmm (No. 47)
Inequivalent atoms, fractional coordinates:
In (0.0000, 0.0000, 0.0000) [1 per cell]  4 Cu 2.72, 4 Os 2.73, 2 In 2.89
Cu (0.5000, 0.5000, 0.0000) [1 per cell]  4 In 2.72, 4 Os 2.73, 2 Cu 2.89
Os (0.0000, 0.5000, 0.5000) [1 per cell]  6 Os 2.72-2.89, 4 Cu 2.73
Os (0.5000, 0.0000, 0.5000) [1 per cell]  6 Os 2.72-2.89, 4 In 2.73

Computed properties:
* ΔE_f: 546 meV/atom
* volume: 15.452 Å³ per atom


4.
This record from Alexandria via LeMat-Bulk describes a relaxed GdSc2Pb crystal. The functional is PBE.

abc: 7.3643 7.3643 7.3643
angles: 90.00 90.00 90.00
Last column: nearest neighbours and their distance in Å.
Space group Fm-3m (No. 225)
Inequivalent atoms, fractional coordinates:
Gd (0.0000, 0.0000, 0.0000) [4 per cell]  8 Sc 3.19
Sc (0.2500, 0.2500, 0.2500) [8 per cell]  4 Gd 3.19, 4 Pb 3.19
Pb (0.0000, 0.0000, 0.5000) [4 per cell]  8 Sc 3.19

Computed properties:
* ΔE_f: -137 meV/atom
* offset from the most stable computed form: 0.137 eV/atom
* volume: 24.961 Å³ per atom


5.
This record from Alexandria via LeMat-Bulk describes a relaxed Ti2Mo crystal. The functional is PBE.

abc: 5.4855 4.4843 8.0368
angles: 90.00 90.00 90.00
Last column: nearest neighbours and their distance in Å.
Space group Pnma (No. 62)
Inequivalent atoms, fractional coordinates:
Ti (0.0439, 0.2500, 0.2228) [4 per cell]  3 Mo 2.70-2.72, 3 Ti 2.78-2.81
Ti (0.1710, 0.2500, 0.5616) [4 per cell]  5 Mo 2.71-2.77, 3 Ti 2.81-3.03
Mo (0.1731, 0.2500, 0.8986) [4 per cell]  8 Ti 2.70-2.77

Computed properties:
* ΔE_f: -63 meV/atom
* offset from the most stable computed form: 0.006 eV/atom
* volume: 16.474 Å³ per atom


6.
This record from Alexandria via LeMat-Bulk describes a relaxed Rb4Ac3MnTe8 crystal. The functional is PBE.

abc: 16.6533 9.3995 10.2170
angles: 90.00 122.31 90.00
Last column: nearest neighbours and their distance in Å.
Space group C2/m (No. 12)
Inequivalent atoms, fractional coordinates:
Rb (0.0000, 0.0000, 0.0000) [2 per cell]  2 Te 3.59
Rb (0.0000, 0.5000, 0.0000) [2 per cell]  6 Te 3.70-3.75
Rb (0.2500, 0.2500, 0.0000) [4 per cell]  6 Te 3.64-3.78
Ac (0.0000, 0.0000, 0.5000) [2 per cell]  6 Te 3.33-3.36
Ac (0.2500, 0.2500, 0.5000) [4 per cell]  6 Te 3.29-3.40
Mn (0.0000, 0.5000, 0.5000) [2 per cell]  4 Te 2.82
Te (0.0101, 0.2879, 0.3140) [8 per cell]  1 Mn 2.82
Te (0.2365, 0.0000, 0.7173) [4 per cell]  3 Ac 3.32-3.33, 2 Rb 3.64
Te (0.2484, 0.5000, 0.7243) [4 per cell]  2 Ac 3.29, 1 Mn 3.50, 3 Rb 3.59-3.66

Computed properties:
* formation energy without anion corrections: -18.8 eV/f.u.
* volume: 42.239 Å³ per atom


7.
This record from Alexandria via LeMat-Bulk describes a relaxed YCdTeN2 crystal. The functional is PBE.

abc: 4.3586 4.3586 6.4533
angles: 90.00 90.00 90.00
Last column: nearest neighbours and their distance in Å.
Space group P4/mmm (No. 123)
Inequivalent atoms, fractional coordinates:
Y (0.0000, 0.0000, 0.0000) [1 per cell]  4 N 2.18
Cd (0.5000, 0.5000, 0.5000) [1 per cell]  4 Te 3.08
Te (0.0000, 0.0000, 0.5000) [1 per cell]  4 Cd 3.08, 2 Y 3.23
N (0.0000, 0.5000, 0.0000) [2 per cell]  2 Y 2.18

Computed properties:
* offset from the most stable computed form: 0.000 eV/atom
* formation energy without anion corrections: 3.3 eV/f.u.
* volume: 24.519 Å³ per atom


8.
This record from Alexandria via LeMat-Bulk describes a relaxed Tl5Ru3 crystal. The functional is PBE.

abc: 8.0818 8.0818 5.8548
angles: 90.00 90.00 120.00
Last column: nearest neighbours and their distance in Å.
Space group P6_3/mcm (No. 193)
Inequivalent atoms, fractional coordinates:
Tl (0.0000, 0.2451, 0.2500) [6 per cell]  3 Ru 2.76-2.94
Tl (0.3333, 0.6667, 0.0000) [4 per cell]  6 Ru 2.89, 2 Tl 2.93
Ru (0.0000, 0.3909, 0.7500) [6 per cell]  7 Tl 2.76-2.94

Computed properties:
* ΔE_f: 610 meV/atom
* offset from the most stable computed form: 0.145 eV/atom
* volume: 20.699 Å³ per atom


9.
This record from Alexandria via LeMat-Bulk describes a relaxed DyPaTe2 crystal. The functional is PBE.

abc: 7.5046 7.5046 7.5046
angles: 90.00 90.00 90.00
Last column: nearest neighbours and their distance in Å.
Space group Fm-3m (No. 225)
Inequivalent atoms, fractional coordinates:
Dy (0.0000, 0.0000, 0.0000) [4 per cell]  8 Te 3.25
Pa (0.0000, 0.0000, 0.5000) [4 per cell]  8 Te 3.25
Te (0.2500, 0.2500, 0.2500) [8 per cell]  4 Dy 3.25, 4 Pa 3.25

Computed properties:
* offset from the most stable computed form: 0.039 eV/atom
* formation energy without anion corrections: -3.4 eV/f.u.
* volume: 26.416 Å³ per atom


10.
This record from Alexandria via LeMat-Bulk describes a relaxed DyZrFeCo crystal. The functional is PBE.

abc: 6.4987 6.4987 6.4987
angles: 90.00 90.00 90.00
Last column: nearest neighbours and their distance in Å.
Space group F-43m (No. 216)
Inequivalent atoms, fractional coordinates:
Dy (0.0000, 0.0000, 0.0000) [4 per cell]  4 Co 2.81, 4 Fe 2.81
Zr (0.0000, 0.0000, 0.5000) [4 per cell]  4 Fe 2.81, 4 Co 2.81
Fe (0.2500, 0.2500, 0.2500) [4 per cell]  4 Zr 2.81, 4 Dy 2.81
Co (0.2500, 0.2500, 0.7500) [4 per cell]  4 Zr 2.81, 4 Dy 2.81

Computed properties:
* ΔE_f: -80 meV/atom
* volume: 17.154 Å³ per atom


11.
This record from Alexandria via LeMat-Bulk describes a relaxed ZnInPb2 crystal. The functional is PBE.

abc: 3.6331 5.7887 10.4723
angles: 90.00 90.00 90.00
Last column: nearest neighbours and their distance in Å.
Space group Cmmm (No. 65)
Inequivalent atoms, fractional coordinates:
Zn (0.0000, 0.0000, 0.0000) [2 per cell]  4 Pb 2.99
In (0.0000, 0.0000, 0.5000) [2 per cell]  4 Pb 3.39, 6 In 3.42-3.63
Pb (0.0000, 0.5000, 0.2262) [4 per cell]  2 Zn 2.99

Computed properties:
* ΔE_f: 120 meV/atom
* volume: 27.531 Å³ per atom


12.
This record from Alexandria via LeMat-Bulk describes a relaxed YTiS2 crystal. The functional is PBE.

abc: 6.5317 6.5317 6.5317
angles: 90.00 90.00 90.00
Last column: nearest neighbours and their distance in Å.
Space group Fm-3m (No. 225)
Inequivalent atoms, fractional coordinates:
Y (0.0000, 0.0000, 0.0000) [4 per cell]  8 S 2.83
Ti (0.0000, 0.0000, 0.5000) [4 per cell]  8 S 2.83
S (0.2500, 0.2500, 0.2500) [8 per cell]  4 Ti 2.83, 4 Y 2.83

Computed properties:
* offset from the most stable computed form: 0.000 eV/atom
* formation energy without anion corrections: -5.2 eV/f.u.
* volume: 17.416 Å³ per atom


13.
This record from Alexandria via LeMat-Bulk describes a relaxed PrIn2PbSe4 crystal. The functional is PBE.

abc: 7.5952 4.2828 7.6604
angles: 90.00 108.92 90.00
Last column: nearest neighbours and their distance in Å.
Space group P2/m (No. 10)
Inequivalent atoms, fractional coordinates:
Pr (0.0000, 0.0000, 0.0000) [1 per cell]  6 Se 2.98-3.00
In (0.0000, 0.5000, 0.5000) [1 per cell]  6 Se 3.04-3.07
In (0.5000, 0.0000, 0.5000) [1 per cell]  6 Se 3.19-3.20
Pb (0.5000, 0.5000, 0.0000) [1 per cell]  6 Se 3.13-3.14
Se (0.2313, 0.5000, 0.2369) [2 per cell]  2 Pr 2.98, 3 In 3.07-3.19, 1 Pb 3.14
Se (0.2352, 0.0000, 0.7514) [2 per cell]  1 Pr 3.00, 3 In 3.04-3.20, 2 Pb 3.13

Computed properties:
* formation energy without anion corrections: -6.8 eV/f.u.
* volume: 29.465 Å³ per atom


14.
This record from Alexandria via LeMat-Bulk describes a relaxed TaTc2Pb crystal. The functional is PBE.

abc: 3.3026 4.8868 8.7579
angles: 90.00 90.00 90.00
Last column: nearest neighbours and their distance in Å.
Space group Immm (No. 71)
Inequivalent atoms, fractional coordinates:
Ta (0.0000, 0.0000, 0.0000) [2 per cell]  4 Tc 2.66, 4 Pb 2.95
Tc (0.0000, 0.5000, 0.2613) [4 per cell]  2 Ta 2.66, 2 Pb 2.82, 4 Tc 2.96
Pb (0.0000, 0.0000, 0.5000) [2 per cell]  4 Tc 2.82, 4 Ta 2.95

Computed properties:
* ΔE_f: 435 meV/atom
* volume: 17.668 Å³ per atom


15.
This record from Alexandria via LeMat-Bulk describes a relaxed Np2Si9Ir3 crystal. The functional is PBE.

abc: 12.3682 7.3169 10.6265
angles: 90.00 113.37 90.00
Last column: nearest neighbours and their distance in Å.
Space group C2/c (No. 15)
Inequivalent atoms, fractional coordinates:
Np (0.1529, 0.0932, 0.2503) [8 per cell]  8 Si 2.79-3.11
Si (0.0000, 0.3728, 0.2500) [4 per cell]  6 Si 2.63-2.69, 2 Np 2.79, 2 Ir 2.87
Si (0.0641, 0.0679, 0.9390) [8 per cell]  3 Ir 2.51-2.57, 3 Si 2.61-2.79
Si (0.1049, 0.3111, 0.7603) [8 per cell]  2 Ir 2.40-2.51, 2 Si 2.52-2.63
Si (0.1050, 0.4089, 0.0749) [8 per cell]  3 Ir 2.45-2.52, 1 Si 2.67
Si (0.2231, 0.4166, 0.4316) [8 per cell]  3 Ir 2.52-2.54, 5 Si 2.68-2.80
Ir (0.0919, 0.2609, 0.5320) [8 per cell]  7 Si 2.40-2.57
Ir (0.2500, 0.2500, 0.0000) [4 per cell]  8 Si 2.51-2.53

Computed properties:
* formation energy without anion corrections: -4.8 eV/f.u.
* volume: 15.764 Å³ per atom


16.
This record from Alexandria via LeMat-Bulk describes a relaxed K2TlAu crystal. The functional is PBE.

abc: 8.2318 8.2318 8.2318
angles: 90.00 90.00 90.00
Last column: nearest neighbours and their distance in Å.
Space group Fm-3m (No. 225)
Inequivalent atoms, fractional coordinates:
K (0.2500, 0.2500, 0.2500) [8 per cell]  4 Tl 3.56, 4 Au 3.56
Tl (0.0000, 0.0000, 0.0000) [4 per cell]  8 K 3.56
Au (0.0000, 0.0000, 0.5000) [4 per cell]  8 K 3.56

Computed properties:
* ΔE_f: -32 meV/atom
* volume: 34.863 Å³ per atom


17.
This record from Alexandria via LeMat-Bulk describes a relaxed Sn2ClF3 crystal. The functional is PBE.

abc: 7.9715 7.9715 7.9715
angles: 90.00 90.00 90.00
Last column: nearest neighbours and their distance in Å.
Space group P2_13 (No. 198)
Inequivalent atoms, fractional coordinates:
Sn (0.0682, 0.4318, 0.5682) [4 per cell]  3 F 2.21
Sn (0.1042, 0.8958, 0.3958) [4 per cell]  3 F 2.16
Cl (0.2380, 0.7380, 0.7620) [4 per cell]  6 Sn 3.19-3.35, 9 F 3.23-3.49
F (0.1200, 0.8713, 0.1264) [12 per cell]  2 Sn 2.16-2.21

Computed properties:
* formation energy without anion corrections: -11.8 eV/f.u.
* volume: 21.106 Å³ per atom


18.
This record from Alexandria via LeMat-Bulk describes a relaxed Ca2CdCuAu6 crystal. The functional is PBE.

abc: 10.0627 10.0627 10.0627
angles: 90.00 90.00 90.00
Last column: nearest neighbours and their distance in Å.
Space group Fm-3m (No. 225)
Inequivalent atoms, fractional coordinates:
Ca (0.2500, 0.2500, 0.2500) [8 per cell]  12 Au 3.56
Cd (0.0000, 0.0000, 0.0000) [4 per cell]  6 Au 2.62
Cu (0.0000, 0.0000, 0.5000) [4 per cell]  6 Au 2.41
Au (0.0000, 0.0000, 0.2601) [24 per cell]  1 Cu 2.41, 1 Cd 2.62

Computed properties:
* ΔE_f: -110 meV/atom
* volume: 25.473 Å³ per atom


19.
This record from Alexandria via LeMat-Bulk describes a relaxed AsSO6 crystal. The functional is PBE.

abc: 8.1422 4.8935 4.6897
angles: 90.00 124.85 90.00
Last column: nearest neighbours and their distance in Å.
Space group C2/m (No. 12)
Inequivalent atoms, fractional coordinates:
As (0.0000, 0.0000, 0.0000) [2 per cell]  6 O 1.86-1.88
S (0.0000, 0.5000, 0.5000) [2 per cell]  6 O 1.65-1.69
O (0.0691, 0.2639, 0.3372) [8 per cell]  1 S 1.65
O (0.2344, 0.5000, 0.8666) [4 per cell]  1 S 1.69, 1 As 1.88

Computed properties:
* formation energy without anion corrections: -3.0 eV/f.u.
* volume: 9.584 Å³ per atom


20.
This record from Alexandria via LeMat-Bulk describes a relaxed CaCoAs crystal. The functional is PBE.

abc: 6.5870 6.5870 6.5870
angles: 90.00 90.00 90.00
Last column: nearest neighbours and their distance in Å.
Space group F-43m (No. 216)
Inequivalent atoms, fractional coordinates:
Ca (0.0000, 0.0000, 0.0000) [4 per cell]  4 As 2.85, 4 Co 2.85
Co (0.2500, 0.2500, 0.7500) [4 per cell]  4 Ca 2.85
As (0.2500, 0.2500, 0.2500) [4 per cell]  4 Ca 2.85

Computed properties:
* ΔE_f: 447 meV/atom
* volume: 23.817 Å³ per atom


21.
This record from Alexandria via LeMat-Bulk describes a relaxed MgNbIn2 crystal. The functional is PBE.

abc: 3.6537 3.6537 6.2770
angles: 90.00 90.00 90.00
Last column: nearest neighbours and their distance in Å.
Space group P4/mmm (No. 123)
Inequivalent atoms, fractional coordinates:
Mg (0.0000, 0.0000, 0.0000) [1 per cell]  8 In 3.05, 2 Nb 3.14
Nb (0.0000, 0.0000, 0.5000) [1 per cell]  8 In 3.00, 2 Mg 3.14
In (0.5000, 0.5000, 0.2577) [2 per cell]  4 Nb 3.00, 2 In 3.04-3.24, 4 Mg 3.05

Computed properties:
* ΔE_f: 129 meV/atom
* volume: 20.948 Å³ per atom


22.
This record from Alexandria via LeMat-Bulk describes a relaxed YTiPd2 crystal. The functional is PBE.

abc: 4.5761 4.5761 16.9134
angles: 90.00 90.00 90.00
Last column: nearest neighbours and their distance in Å.
Space group I-42d (No. 122)
Inequivalent atoms, fractional coordinates:
Y (0.0000, 0.0000, 0.0000) [4 per cell]  4 Pd 2.83
Ti (0.0000, 0.0000, 0.5000) [4 per cell]  4 Pd 2.53
Pd (0.1752, 0.2500, 0.6250) [8 per cell]  2 Ti 2.53, 2 Pd 2.79, 2 Y 2.83

Computed properties:
* ΔE_f: -55 meV/atom
* offset from the most stable computed form: 0.584 eV/atom
* volume: 22.137 Å³ per atom


23.
This record from Alexandria via LeMat-Bulk describes a relaxed Ba4Co crystal. The functional is PBE.

abc: 10.8340 10.8340 4.0053
angles: 90.00 90.00 90.00
Last column: nearest neighbours and their distance in Å.
Space group I4/m (No. 87)
Inequivalent atoms, fractional coordinates:
Ba (0.0569, 0.7597, 0.0000) [8 per cell]  2 Co 3.34
Co (0.0000, 0.0000, 0.5000) [2 per cell]  8 Ba 3.34

Computed properties:
* ΔE_f: 274 meV/atom
* offset from the most stable computed form: 0.034 eV/atom
* volume: 47.012 Å³ per atom


24.
This record from Alexandria via LeMat-Bulk describes a relaxed Tc2NiRu crystal. The functional is PBE.

abc: 3.1221 3.1221 5.6046
angles: 90.00 90.00 90.00
Last column: nearest neighbours and their distance in Å.
Space group P4mm (No. 99)
Inequivalent atoms, fractional coordinates:
Tc (0.0000, 0.0000, 0.0000) [1 per cell]  4 Tc 2.65, 4 Ru 2.72, 2 Ni 2.74-2.87
Tc (0.5000, 0.5000, 0.2615) [1 per cell]  4 Ni 2.55, 1 Ru 2.56, 4 Tc 2.65
Ni (0.0000, 0.0000, 0.4880) [1 per cell]  5 Tc 2.55-2.74, 4 Ru 2.55
Ru (0.5000, 0.5000, 0.7175) [1 per cell]  4 Ni 2.55, 5 Tc 2.56-2.72

Computed properties:
* ΔE_f: 184 meV/atom
* offset from the most stable computed form: 0.233 eV/atom
* volume: 13.658 Å³ per atom